A plane-wave DFT calculation with GGA-PBEsol was carried out for a geometry-optimized La2As structure.

Summary:
Symmetry   P-62m
Total energy   -0.2297 hartree per atom

Lattice parameters (Å, degrees): 8.232 8.232 4.203 90.00 90.00 120.00
Positions (direct):
La1 0.000 0.423 0.000
La2 0.000 0.738 0.500
La3 0.262 0.262 0.500
La4 0.423 0.000 0.000
La5 0.577 0.577 0.000
La6 0.738 0.000 0.500
As1 0.000 0.000 0.000
As2 0.333 0.667 0.500
As3 0.667 0.333 0.500